Material: Co3AsF
Method: DFT, PBE with a Hubbard U
State: relaxed

Structure (CIF):
```
data_Co3AsF
_chemical_formula_sum 'Co3 As1 F1'
_symmetry_space_group_name_H-M 'P m -3 m'
_symmetry_Int_Tables_number 221
_symmetry_space_group_name_Hall '-P 4 2 3'
_cell_length_a 4.172
_cell_length_b 4.172
_cell_length_c 4.172
_cell_angle_alpha 90.00
_cell_angle_beta 90.00
_cell_angle_gamma 90.00
loop_
_atom_site_label
_atom_site_type_symbol
_atom_site_fract_x
_atom_site_fract_y
_atom_site_fract_z
_atom_site_occupancy
Co1 Co 0.000 0.000 0.500 1
As1 As 0.500 0.500 0.500 1
F1 F 0.000 0.000 0.000 1
```

Results
- relative energy among the computed polymorphs (eV per atom) = 0.000
- mass density (g/cm³) = 6.19
- VASP energy (eV/atom) = -4.167